No. 1
Material: AcAlSi2O8
Method: DFT, GGA-PBE
State: relaxed

## Properties
The value obtained for the raw total energy is -89.60 eV per cell. The calculation puts the uncorrected formation energy at -2603.0 meV/atom.

```
12
Lattice="5.219 0.000 0.000 -2.610 4.520 0.000 0.000 0.000 6.884" Properties=species:S:1:pos:R:3 pbc="T T T"
Ac 0.000 0.000 0.000
Al 0.000 0.000 3.442
Si 0.000 3.013 5.082
Si 2.610 1.507 1.802
O -1.348 3.786 4.620
O 0.005 1.460 4.620
O 1.267 0.725 2.264
O 0.000 3.013 6.732
O 2.610 1.507 0.152
O 1.343 3.795 4.620
O 2.604 3.061 2.264
O 3.958 0.734 2.264
```



No. 2
Material: Ac3SmAl2O9
Method: DFT, GGA-PBE
State: relaxed

## Properties
The value obtained for the raw total energy is -116.98 eV per cell. The calculation puts the uncorrected formation energy at -3188.5 meV/atom.

```
15
Lattice="5.672 0.000 0.000 -2.836 4.912 0.000 0.000 0.000 7.369" Properties=species:S:1:pos:R:3 pbc="T T T"
Ac 0.000 0.000 0.000
Ac 0.000 3.275 5.295
Ac 2.836 1.637 2.073
Sm 0.000 0.000 3.684
Al 0.000 3.275 1.221
Al 2.836 1.637 6.148
O -1.418 2.456 0.000
O 0.000 1.708 2.202
O -1.357 4.058 2.202
O 1.479 0.854 5.166
O 2.836 0.000 0.000
O 1.418 2.456 0.000
O 1.357 4.058 2.202
O 4.193 0.854 5.166
O 2.836 3.204 5.166
```



No. 3
Material: AcAl2SnO8
Method: DFT, GGA-PBE
State: relaxed

## Properties
The value obtained for the raw total energy is -79.20 eV per cell. The calculation puts the uncorrected formation energy at -1995.1 meV/atom.

```
12
Lattice="5.616 0.000 0.000 -2.808 4.864 0.000 0.000 0.000 7.014" Properties=species:S:1:pos:R:3 pbc="T T T"
Ac 0.000 0.000 0.000
Al 0.000 3.242 5.238
Al 2.808 1.621 1.776
Sn 0.000 0.000 3.507
O 0.000 1.540 4.869
O -1.474 4.093 4.869
O 1.334 0.770 2.145
O 0.000 3.242 0.027
O 2.808 1.621 6.987
O 1.474 4.093 4.869
O 4.282 0.770 2.145
O 2.808 3.323 2.145
```



No. 4
Material: SrAcAlO4
Method: DFT, GGA-PBE
State: relaxed

## Properties
The value obtained for the raw total energy is -51.18 eV per cell. The calculation puts the uncorrected formation energy at -3115.8 meV/atom.

```
7
Lattice="-1.912 1.912 6.490 1.912 -1.912 6.490 1.912 1.912 -6.490" Properties=species:S:1:pos:R:3 pbc="T T T"
Sr 0.000 0.000 0.000
Ac 0.000 0.000 3.680
Al 0.000 0.000 8.175
O 1.912 0.000 1.856
O 0.000 0.000 6.251
O 0.000 1.912 1.856
O 0.000 0.000 10.443
```



No. 5
Material: SrAc2AlO6
Method: DFT, GGA-PBE
State: relaxed

## Properties
The value obtained for the raw total energy is -71.34 eV per cell. The calculation puts the uncorrected formation energy at -2794.5 meV/atom.

```
10
Lattice="5.597 0.000 0.000 0.000 5.597 0.000 0.000 0.000 5.343" Properties=species:S:1:pos:R:3 pbc="T T T"
Sr 0.000 0.000 0.000
Ac 0.000 2.798 2.424
Ac 2.798 0.000 2.424
Al 2.798 2.798 0.284
O 0.000 0.000 2.960
O 1.548 1.548 0.939
O 1.548 4.049 0.939
O 2.798 2.798 3.805
O 4.049 1.548 0.939
O 4.049 4.049 0.939
```



No. 6
Material: Sr2AcAlO5
Method: DFT, GGA-PBE
State: relaxed

## Properties
The value obtained for the raw total energy is -126.37 eV per cell. The calculation puts the uncorrected formation energy at -3019.8 meV/atom.

```
18
Lattice="-3.427 3.427 5.658 3.427 -3.427 5.658 3.427 3.427 -5.658" Properties=species:S:1:pos:R:3 pbc="T T T"
Sr 4.626 1.199 0.000
Sr 1.199 2.229 0.000
Sr 2.229 1.199 5.658
Sr -1.199 2.229 5.658
Ac 0.000 0.000 2.829
Ac 0.000 0.000 8.487
Al 3.427 0.000 2.829
Al 0.000 3.427 2.829
O 0.000 0.000 0.000
O 4.419 -0.992 1.752
O 2.435 -0.992 3.906
O 2.435 0.992 1.752
O 4.419 0.992 3.906
O 0.000 0.000 5.658
O -0.992 2.435 1.752
O 0.992 2.435 3.906
O 0.992 4.419 1.752
O -0.992 4.419 3.906
```



No. 7
Material: AcTa2AlO8
Method: DFT, GGA-PBE
State: relaxed

## Properties
The value obtained for the raw total energy is -106.76 eV per cell. The calculation puts the uncorrected formation energy at -2961.3 meV/atom.

```
12
Lattice="4.441 -2.948 0.000 4.441 2.948 0.000 -0.121 0.000 7.190" Properties=species:S:1:pos:R:3 pbc="T T T"
Ac 0.000 0.000 0.000
Ta 3.132 0.000 5.084
Ta 5.629 0.000 2.106
Al -0.061 0.000 3.595
O 1.770 0.000 3.868
O 4.174 1.590 5.004
O 4.587 1.590 2.185
O 2.415 0.000 6.780
O 6.346 0.000 0.410
O 4.174 -1.590 5.004
O 4.587 -1.590 2.185
O 6.991 0.000 3.321
```



No. 8
Material: AcTaAlO6
Method: DFT, GGA-PBE
State: relaxed

## Properties
The value obtained for the raw total energy is -147.72 eV per cell. The calculation puts the uncorrected formation energy at -2711.7 meV/atom.

```
18
Lattice="4.928 0.000 0.000 0.000 4.928 0.000 0.000 0.000 9.860" Properties=species:S:1:pos:R:3 pbc="T T T"
Ac 0.000 0.000 0.000
Ac 2.464 2.464 4.930
Ta 0.000 0.000 6.548
Ta 2.464 2.464 1.618
Al 0.000 0.000 3.213
Al 2.464 2.464 8.143
O 0.794 0.794 4.809
O 1.068 1.068 1.943
O 1.097 1.097 7.768
O 1.367 3.561 2.838
O 1.396 3.531 6.873
O 1.670 3.258 9.739
O 3.258 1.670 9.739
O 3.531 1.396 6.873
O 3.561 1.367 2.838
O 3.831 3.831 7.768
O 3.860 3.860 1.943
O 4.134 4.134 4.809
```



No. 9
Material: AcAl2TcO8
Method: DFT, GGA-PBE
State: relaxed

## Properties
The value obtained for the raw total energy is -89.08 eV per cell. The calculation puts the uncorrected formation energy at -2287.7 meV/atom.

```
12
Lattice="4.851 0.000 0.000 1.061 4.734 0.000 1.200 0.959 6.759" Properties=species:S:1:pos:R:3 pbc="T T T"
Ac 0.000 0.000 0.000
Al 2.921 2.339 1.425
Al 4.190 3.353 5.334
Tc 0.600 0.479 3.379
O 2.235 3.947 2.035
O 2.778 4.381 4.722
O 1.964 1.579 2.868
O 2.001 1.608 0.017
O 5.110 4.085 6.742
O 5.147 4.114 3.891
O 4.333 1.312 2.037
O 4.876 1.746 4.724
```



No. 10
Material: AcAlTeO5
Method: DFT, GGA-PBE
State: relaxed

## Properties
The value obtained for the raw total energy is -107.35 eV per cell. The calculation puts the uncorrected formation energy at -2236.2 meV/atom.

```
16
Lattice="3.828 -4.343 0.000 3.828 4.343 0.000 -3.267 0.000 7.173" Properties=species:S:1:pos:R:3 pbc="T T T"
Ac 1.378 3.832 5.379
Ac 3.011 -3.832 1.793
Al 1.914 2.172 0.000
Al 0.281 -2.172 3.586
Te 1.378 0.145 5.379
Te 3.011 -0.145 1.793
O 1.404 0.411 0.425
O 3.011 2.359 1.793
O 0.339 1.539 6.313
O -0.229 -0.411 4.011
O 2.417 1.539 4.446
O 1.972 -1.539 2.727
O 4.618 0.411 3.161
O 4.050 -1.539 0.860
O 1.378 -2.359 5.379
O 2.985 -0.411 6.747
```



No. 11
Material: AcAlTe2O8
Method: DFT, GGA-PBE
State: relaxed

## Properties
The value obtained for the raw total energy is -74.60 eV per cell. The calculation puts the uncorrected formation energy at -1733.1 meV/atom.

```
12
Lattice="5.878 0.000 0.000 -2.939 5.090 0.000 0.000 0.000 6.851" Properties=species:S:1:pos:R:3 pbc="T T T"
Ac 0.000 0.000 0.000
Al 0.000 0.000 3.426
Te 0.000 3.393 2.012
Te 2.939 1.697 4.839
O 0.000 1.443 2.177
O -1.689 4.369 2.177
O 1.250 0.722 4.674
O 0.000 3.393 0.166
O 2.939 1.697 6.685
O 1.689 4.369 2.177
O 4.628 0.722 4.674
O 2.939 3.647 4.674
```



No. 12
Material: AcAlTeO6
Method: DFT, GGA-PBE
State: relaxed

## Properties
The value obtained for the raw total energy is -124.41 eV per cell. The calculation puts the uncorrected formation energy at -2384.7 meV/atom.

```
18
Lattice="5.151 0.000 0.000 -2.575 4.461 0.000 0.000 0.000 10.863" Properties=species:S:1:pos:R:3 pbc="T T T"
Ac 0.000 0.000 0.000
Ac 0.000 0.000 5.431
Al 0.000 2.974 2.716
Al 2.575 1.487 8.147
Te 0.000 2.974 8.147
Te 2.575 1.487 2.716
O -0.972 1.707 1.622
O -1.583 2.766 3.809
O 0.972 1.707 3.809
O -0.612 4.449 1.622
O 1.964 0.012 7.054
O 0.992 1.695 9.241
O 1.583 2.766 1.622
O 0.612 4.449 3.809
O 3.187 0.012 9.241
O 1.604 2.754 7.054
O 4.159 1.695 7.054
O 3.547 2.754 9.241
```



No. 13
Material: Ac2TiAlO6
Method: DFT, GGA-PBE
State: relaxed

## Properties
The value obtained for the raw total energy is -161.86 eV per cell. The calculation puts the uncorrected formation energy at -3132.5 meV/atom.

```
20
Lattice="2.820 1.628 9.198 -2.820 1.628 9.198 0.000 -3.256 9.198" Properties=species:S:1:pos:R:3 pbc="T T T"
Ac 0.000 0.000 3.579
Ac 0.000 0.000 7.870
Ac 0.000 0.000 19.725
Ac 0.000 0.000 24.016
Ti 0.000 0.000 11.256
Ti 0.000 0.000 16.339
Al 0.000 0.000 0.000
Al 0.000 0.000 13.797
O -1.362 -0.786 12.669
O 0.000 -1.704 10.298
O -1.475 0.852 10.298
O -1.475 -0.852 17.296
O 0.000 -1.572 14.926
O -1.362 0.786 14.926
O 1.362 -0.786 12.669
O 0.000 1.572 12.669
O 1.475 0.852 10.298
O 1.475 -0.852 17.296
O 0.000 1.704 17.296
O 1.362 0.786 14.926
```



No. 14
Material: AcTiAlO6
Method: DFT, GGA-PBE
State: relaxed

## Properties
The value obtained for the raw total energy is -68.96 eV per cell. The calculation puts the uncorrected formation energy at -2607.5 meV/atom.

```
9
Lattice="5.185 0.000 0.000 -2.593 4.491 0.000 0.000 0.000 5.214" Properties=species:S:1:pos:R:3 pbc="T T T"
Ac 0.000 0.000 0.000
Ti 0.000 2.994 2.607
Al 2.593 1.497 2.607
O 1.979 0.035 3.671
O 1.020 1.696 1.543
O 3.207 0.035 1.543
O 1.634 2.760 3.671
O 4.166 1.696 3.671
O 3.552 2.760 1.543
```



No. 15
Material: Ac3TiAl2O9
Method: DFT, GGA-PBE
State: relaxed

## Properties
The value obtained for the raw total energy is -120.64 eV per cell. The calculation puts the uncorrected formation energy at -3220.5 meV/atom.

```
15
Lattice="5.559 0.000 0.000 -2.779 4.814 0.000 0.000 0.000 6.824" Properties=species:S:1:pos:R:3 pbc="T T T"
Ac 0.000 0.000 0.000
Ac 0.000 3.209 4.560
Ac 2.779 1.605 2.264
Ti 0.000 0.000 3.412
Al 0.000 3.209 1.107
Al 2.779 1.605 5.717
O -1.390 2.407 0.000
O 0.000 1.652 2.225
O -1.349 3.988 2.225
O 1.431 0.826 4.599
O 2.779 0.000 0.000
O 1.390 2.407 0.000
O 1.349 3.988 2.225
O 4.128 0.826 4.599
O 2.779 3.162 4.599
```



No. 16
Material: Ac2AlTlO5
Method: DFT, GGA-PBE
State: relaxed

## Properties
The value obtained for the raw total energy is -127.46 eV per cell. The calculation puts the uncorrected formation energy at -2734.7 meV/atom.

```
18
Lattice="-3.657 3.657 5.582 3.657 -3.657 5.582 3.657 3.657 -5.582" Properties=species:S:1:pos:R:3 pbc="T T T"
Ac 5.022 1.365 0.000
Ac 1.365 2.292 0.000
Ac 2.292 1.365 5.582
Ac -1.365 2.292 5.582
Al 3.657 0.000 2.791
Al 0.000 3.657 2.791
Tl 0.000 0.000 2.791
Tl 0.000 0.000 8.372
O 0.000 0.000 0.000
O 4.588 -0.930 1.570
O 2.727 -0.930 4.011
O 2.727 0.930 1.570
O 4.588 0.930 4.011
O 0.000 0.000 5.582
O -0.930 2.727 1.570
O 0.930 2.727 4.011
O 0.930 4.588 1.570
O -0.930 4.588 4.011
```



No. 17
Material: Ac3Al2TlO9
Method: DFT, GGA-PBE
State: relaxed

## Properties
The value obtained for the raw total energy is -108.04 eV per cell. The calculation puts the uncorrected formation energy at -2749.2 meV/atom.

```
15
Lattice="5.645 0.000 0.000 -2.823 4.889 0.000 0.000 0.000 7.123" Properties=species:S:1:pos:R:3 pbc="T T T"
Ac 0.000 0.000 0.000
Ac 0.000 3.259 4.911
Ac 2.823 1.630 2.213
Al 0.000 3.259 1.124
Al 2.823 1.630 6.000
Tl 0.000 0.000 3.562
O -1.411 2.444 0.000
O 0.000 1.715 2.191
O -1.337 4.031 2.191
O 1.485 0.857 4.933
O 2.823 0.000 0.000
O 1.411 2.444 0.000
O 1.337 4.031 2.191
O 4.160 0.857 4.933
O 2.823 3.174 4.933
```



No. 18
Material: Ac2AlTlO6
Method: DFT, GGA-PBE
State: relaxed

## Properties
The value obtained for the raw total energy is -69.31 eV per cell. The calculation puts the uncorrected formation energy at -2523.7 meV/atom.

```
10
Lattice="5.562 0.000 0.000 0.000 5.562 0.000 0.000 0.000 4.944" Properties=species:S:1:pos:R:3 pbc="T T T"
Ac 0.000 2.781 0.000
Ac 2.781 0.000 0.000
Al 0.000 0.000 2.769
Tl 2.781 2.781 2.683
O 0.000 0.000 0.971
O 1.278 1.278 3.377
O 1.278 4.284 3.377
O 2.781 2.781 0.520
O 4.284 1.278 3.377
O 4.284 4.284 3.377
```



No. 19
Material: Ac2UAlO8
Method: DFT, GGA-PBE
State: relaxed

## Properties
The value obtained for the raw total energy is -95.28 eV per cell. The calculation puts the uncorrected formation energy at -2697.3 meV/atom.

```
12
Lattice="6.876 0.000 0.000 -3.438 5.955 0.000 0.000 0.000 5.263" Properties=species:S:1:pos:R:3 pbc="T T T"
Ac 0.000 3.970 1.215
Ac 3.438 1.985 4.048
U 0.000 0.000 2.631
Al 0.000 0.000 0.000
O 0.000 1.511 1.193
O -2.129 5.199 1.193
O 1.309 0.756 4.070
O 0.000 3.970 3.601
O 3.438 1.985 1.662
O 2.129 5.199 1.193
O 5.567 0.756 4.070
O 3.438 4.443 4.070
```